# Ti3NbH

A geometry-optimized Ti3NbH structure (PBE, Alexandria).

Output
The calculation puts the density of states at the Fermi level at 3.5 states/eV/f.u. The size of the total moment comes out at 0.0 μB per cell. The theoretical density comes out at 5.5 g/cm³. Its total DFT energy (no corrections) is -37.5 eV/f.u.

Unit cell a=4.7505 b=5.5935 c=5.4103 alpha=90.00 beta=94.27 gamma=90.00
Space group Pm (No. 6)
Symmetry-distinct sites (fractional):
Ti 0.0000 0.0000 0.0000 x1
Ti 0.0299 0.2488 0.5072 x2
Ti 0.5217 0.2515 0.2165 x2
Ti 0.5541 0.5000 0.7134 x1
Nb 0.0537 0.5000 0.9740 x1
Nb 0.4979 0.0000 0.7422 x1
H 0.2817 0.5000 0.3676 x1
H 0.8104 0.0000 0.3049 x1